24
Lattice="5.054 0.000 0.000 -2.527 4.377 0.000 0.000 0.000 12.611" Properties=species:S:1:pos:R:3 comment="Ni3As (PBE, relaxed)" space_group="P6_3/mmc, No. 194" pbc="T T T"
Ni -1.246 2.198 3.153
Ni 0.000 1.460 1.033
Ni 0.000 1.460 5.273
Ni -1.263 3.647 1.033
Ni -1.263 3.647 5.273
Ni 1.264 0.730 7.339
Ni 1.264 0.730 11.578
Ni 1.246 2.198 3.153
Ni 0.000 4.357 3.153
Ni 2.527 0.020 9.458
Ni 1.281 2.179 9.458
Ni 1.263 3.647 1.033
Ni 1.263 3.647 5.273
Ni 3.790 0.730 7.339
Ni 3.790 0.730 11.578
Ni 2.527 2.917 7.339
Ni 2.527 2.917 11.578
Ni 3.773 2.179 9.458
As 0.000 0.000 3.153
As 0.000 0.000 9.458
As 0.000 2.918 7.445
As 0.000 2.918 11.472
As 2.527 1.459 1.139
As 2.527 1.459 5.167

3
Lattice="2.862 0.000 0.000 -1.431 2.479 0.000 0.000 0.000 5.464" Properties=species:S:1:pos:R:3 comment="Ni2As (PBE, relaxed)" space_group="P-3m1, No. 164" pbc="T T T"
Ni 0.000 1.652 0.955
Ni 1.431 0.826 4.509
As 0.000 0.000 2.732

4
Lattice="4.640 0.000 0.000 0.000 4.640 0.000 0.000 0.000 4.640" Properties=species:S:1:pos:R:3 comment="NiAs3 (PBE, relaxed)" e_above_lowest_polymorph_mev_per_atom=585 space_group="Pm-3m, No. 221" pbc="T T T"
Ni 0.000 0.000 0.000
As 0.000 0.000 2.320
As 0.000 2.320 0.000
As 2.320 0.000 0.000

4
Lattice="1.367 0.789 7.627 -1.367 0.789 7.627 0.000 -1.578 7.627" Properties=species:S:1:pos:R:3 comment="Ni3As (PBE, relaxed)" space_group="R-3m, No. 166" pbc="T T T"
Ni 0.000 0.000 0.000
Ni 0.000 0.000 5.674
Ni 0.000 0.000 17.206
As 0.000 0.000 11.440

Number 1: calculated volume 11.6 Å³ per atom, ΔE_f -0.152 eV/atom, uncorrected energy -5.651 eV per atom. Number 2: calculated volume 12.9 Å³ per atom, ΔE_f 0.079 eV/atom, uncorrected energy -5.325 eV per atom. Number 3: calculated volume 25.0 Å³ per atom, ΔE_f 0.596 eV/atom, uncorrected energy -4.337 eV per atom. Number 4: calculated volume 12.3 Å³ per atom, ΔE_f 0.123 eV/atom, uncorrected energy -5.375 eV per atom.